# Ba4TbRu3O12, PBEsol geometry, DFT SCAN
data_Ba4TbRu3O12
_symmetry_space_group_name_H-M 'R -3 m'
_symmetry_Int_Tables_number 166
_symmetry_space_group_name_Hall '-R 3 2"'
_cell_length_a 5.8452
_cell_length_b 5.8452
_cell_length_c 29.1417
_cell_angle_alpha 90.00
_cell_angle_beta 90.00
_cell_angle_gamma 120.00
loop_
_atom_site_label
_atom_site_fract_x
_atom_site_fract_y
_atom_site_fract_z
Ba1 0.0000 0.0000 0.1292
Ba2 0.0000 0.0000 0.2852
Tb1 0.0000 0.0000 0.0000
Ru1 0.0000 0.0000 0.4138
Ru2 0.0000 0.0000 0.5000
O1 0.0194 0.5097 0.2894
O2 0.0228 0.5114 0.1246
# * ΔE_f (raw): -2.3873 eV per atom
# * M_tot: 9.22 Bohr magnetons per cell